(1)
MnSb3O | PBE+U | optimized geometry

Unit cell a=4.7885 b=4.7885 c=4.7885 alpha=90.00 beta=90.00 gamma=90.00
With the nearest neighbours (Å) after each atom.
Fractional coordinates of all 5 atoms:
Sb  0.0000  0.5000  0.0000  2 O 2.39
Sb  0.0000  0.0000  0.5000  2 O 2.39
Sb  0.5000  0.0000  0.0000  2 O 2.39
Mn  0.5000  0.5000  0.5000  12 Sb 3.39
O  0.0000  0.0000  0.0000  6 Sb 2.39

The space-group type is No. 221. The energy above the lowest structure with this stoichiometry is 0.000 eV per formula unit. As for the crystal system: cubic.

(2)
Mn3SbO | PBE+U | optimized geometry

Unit cell a=5.1851 b=5.1851 c=5.1851 alpha=90.00 beta=90.00 gamma=90.00
With the nearest neighbours (Å) after each atom.
Fractional coordinates of all 5 atoms:
Sb  0.0000  0.0000  0.0000  6 Mn 2.59
Mn  0.0000  0.5000  0.0000  2 Sb 2.59
Mn  0.0000  0.0000  0.5000  2 Sb 2.59
Mn  0.5000  0.0000  0.0000  2 Sb 2.59
O  0.5000  0.5000  0.5000  12 Mn 3.67

The space-group type is No. 221. The energy above the lowest structure with this stoichiometry is 6.877 eV per formula unit. As for the crystal system: cubic.

(3)
Mn5Sb3O12 | PBE+U | optimized geometry

Unit cell a=10.9549 b=10.9549 c=10.9549 alpha=109.47 beta=109.47 gamma=109.47
With the nearest neighbours (Å) after each atom.
Fractional coordinates of all 80 atoms:
Sb  0.7500  0.3750  0.1250  8 O 2.36-2.49
Sb  0.8750  0.7500  0.1250  8 O 2.36-2.49
Sb  0.3750  0.7500  0.6250  8 O 2.36-2.49
Sb  0.2500  0.1250  0.3750  8 O 2.36-2.49
Sb  0.8750  0.1250  0.2500  8 O 2.36-2.49
Sb  0.3750  0.6250  0.2500  8 O 2.36-2.49
Sb  0.6250  0.3750  0.7500  8 O 2.36-2.49
Sb  0.1250  0.8750  0.7500  8 O 2.36-2.49
Sb  0.7500  0.8750  0.6250  8 O 2.36-2.49
Sb  0.6250  0.2500  0.3750  8 O 2.36-2.49
Sb  0.1250  0.2500  0.8750  8 O 2.36-2.49
Sb  0.2500  0.6250  0.8750  8 O 2.36-2.49
Mn  0.1250  0.3750  0.2500  4 O 1.96
Mn  0.0000  0.5000  0.0000  6 O 2.03
Mn  0.0000  0.0000  0.0000  6 O 2.03
Mn  0.3750  0.2500  0.1250  4 O 1.96
Mn  0.5000  0.0000  0.5000  6 O 2.03
Mn  0.5000  0.5000  0.0000  6 O 2.03
Mn  0.1250  0.7500  0.3750  4 O 1.96
Mn  0.7500  0.1250  0.8750  4 O 1.96
Mn  0.7500  0.6250  0.3750  4 O 1.96
Mn  0.3750  0.1250  0.7500  4 O 1.96
Mn  0.6250  0.8750  0.2500  4 O 1.96
Mn  0.5000  0.5000  0.5000  6 O 2.03
Mn  0.5000  0.0000  0.0000  6 O 2.03
Mn  0.0000  0.0000  0.5000  6 O 2.03
Mn  0.2500  0.3750  0.6250  4 O 1.96
Mn  0.2500  0.8750  0.1250  4 O 1.96
Mn  0.0000  0.5000  0.5000  6 O 2.03
Mn  0.8750  0.2500  0.6250  4 O 1.96
Mn  0.6250  0.7500  0.8750  4 O 1.96
Mn  0.8750  0.6250  0.7500  4 O 1.96
O  0.7051  0.1272  0.0344  2 Mn 1.96-2.03
O  0.3293  0.5344  0.4072  2 Mn 1.96-2.03
O  0.9656  0.3728  0.2949  2 Mn 1.96-2.03
O  0.5344  0.2051  0.1272  2 Mn 1.96-2.03
O  0.5779  0.7051  0.6707  2 Mn 1.96-2.03
O  0.9656  0.5928  0.1707  2 Mn 1.96-2.03
O  0.3293  0.7949  0.4221  2 Mn 1.96-2.03
O  0.0928  0.9221  0.1272  2 Mn 1.96-2.03
O  0.5928  0.9656  0.6707  2 Mn 1.96-2.03
O  0.7051  0.5779  0.1707  2 Mn 1.96-2.03
O  0.7949  0.4656  0.3728  2 Mn 1.96-2.03
O  0.8293  0.9072  0.0344  2 Mn 1.96-2.03
O  0.1272  0.7051  0.5344  2 Mn 1.96-2.03
O  0.3728  0.4072  0.0779  2 Mn 1.96-2.03
O  0.0779  0.9072  0.3728  2 Mn 1.96-2.03
O  0.4221  0.1272  0.5928  2 Mn 1.96-2.03
O  0.0779  0.1707  0.2051  2 Mn 1.96-2.03
O  0.4656  0.6707  0.0928  2 Mn 1.96-2.03
O  0.8293  0.9221  0.2949  2 Mn 1.96-2.03
O  0.1272  0.4221  0.0928  2 Mn 1.96-2.03
O  0.3728  0.9656  0.7949  2 Mn 1.96-2.03
O  0.5928  0.6272  0.4221  2 Mn 1.96-2.03
O  0.9072  0.8293  0.5344  2 Mn 1.96-2.03
O  0.7949  0.3293  0.9221  2 Mn 1.96-2.03
O  0.4072  0.3728  0.5779  2 Mn 1.96-2.03
O  0.0928  0.1707  0.4656  2 Mn 1.96-2.03
O  0.2051  0.6707  0.0779  2 Mn 1.96-2.03
O  0.1707  0.0779  0.7051  2 Mn 1.96-2.03
O  0.6272  0.0344  0.2051  2 Mn 1.96-2.03
O  0.8728  0.5779  0.9072  2 Mn 1.96-2.03
O  0.5344  0.3293  0.9072  2 Mn 1.96-2.03
O  0.5779  0.8728  0.4072  2 Mn 1.96-2.03
O  0.9221  0.8293  0.7949  2 Mn 1.96-2.03
O  0.9221  0.0928  0.6272  2 Mn 1.96-2.03
O  0.8728  0.2949  0.4656  2 Mn 1.96-2.03
O  0.1707  0.0928  0.9656  2 Mn 1.96-2.03
O  0.6272  0.5928  0.9221  2 Mn 1.96-2.03
O  0.4072  0.0344  0.3293  2 Mn 1.96-2.03
O  0.2949  0.4221  0.8293  2 Mn 1.96-2.03
O  0.2051  0.5344  0.6272  2 Mn 1.96-2.03
O  0.9072  0.0779  0.8728  2 Mn 1.96-2.03
O  0.6707  0.2051  0.5779  2 Mn 1.96-2.03
O  0.4656  0.7949  0.8728  2 Mn 1.96-2.03
O  0.0344  0.4072  0.8293  2 Mn 1.96-2.03
O  0.4221  0.2949  0.3293  2 Mn 1.96-2.03
O  0.0344  0.6272  0.7051  2 Mn 1.96-2.03
O  0.6707  0.4656  0.5928  2 Mn 1.96-2.03
O  0.2949  0.8728  0.9656  2 Mn 1.96-2.03

The space-group type is No. 230. The energy above the lowest structure with this stoichiometry is 3.707 eV per formula unit. As for the crystal system: cubic.

(4)
Mn2Sb3O6 | PBE+U | optimized geometry

Unit cell a=9.0025 b=6.4308 c=11.8446 alpha=84.99 beta=67.66 gamma=45.58
With the nearest neighbours (Å) after each atom.
Fractional coordinates of all 22 atoms:
Mn  0.3432  0.8259  0.0759  4 O 2.07-2.14
Mn  0.7550  0.3259  0.5759  4 O 2.07-2.14
Mn  0.6568  0.1741  0.9241  4 O 2.07-2.14
Mn  0.2450  0.6741  0.4241  4 O 2.07-2.14
Sb  0.1726  0.8791  0.7255  3 O 1.99-2.05
Sb  0.3189  0.2500  0.7500  2 O 2.12
Sb  0.7772  0.6209  0.7745  3 O 1.99-2.05
Sb  0.2228  0.3791  0.2255  3 O 1.99-2.05
Sb  0.8274  0.1209  0.2745  3 O 1.99-2.05
Sb  0.6811  0.7500  0.2500  2 O 2.12
O  0.0146  0.7840  0.8473  1 Sb 2.00, 1 Mn 2.09
O  0.5226  0.0808  0.8477  2 Sb 2.05-2.12, 1 Mn 2.14
O  0.5978  0.5511  0.8934  1 Sb 1.99, 2 Mn 2.07-2.12
O  0.3541  0.2840  0.3473  1 Sb 2.00, 1 Mn 2.09
O  0.9577  0.0511  0.3934  1 Sb 1.99, 2 Mn 2.07-2.12
O  0.5488  0.5808  0.3477  2 Sb 2.05-2.12, 1 Mn 2.14
O  0.9854  0.2160  0.1527  1 Sb 2.00, 1 Mn 2.09
O  0.4774  0.9192  0.1523  2 Sb 2.05-2.12, 1 Mn 2.14
O  0.4022  0.4489  0.1066  1 Sb 1.99, 2 Mn 2.07-2.12
O  0.6459  0.7160  0.6527  1 Sb 2.00, 1 Mn 2.09
O  0.0423  0.9489  0.6066  1 Sb 1.99, 2 Mn 2.07-2.12
O  0.4512  0.4192  0.6523  2 Sb 2.05-2.12, 1 Mn 2.14

The space-group type is No. 15. As for the crystal system: monoclinic.

(5)
Mn2Sb2O7 | PBE+U | optimized geometry

Unit cell a=7.2753 b=7.2753 c=7.2753 alpha=90.00 beta=60.00 gamma=120.00
With the nearest neighbours (Å) after each atom.
Fractional coordinates of all 22 atoms:
Mn  0.0000  0.5000  0.0000  2 O 2.23
Mn  0.0000  0.5000  0.5000  2 O 2.23
Mn  0.5000  0.0000  0.5000  2 O 2.23
Mn  0.5000  0.5000  0.5000  2 O 2.23
Sb  0.5000  0.5000  0.0000  6 O 1.99
Sb  0.5000  0.0000  0.0000  6 O 1.99
Sb  0.0000  0.0000  0.5000  6 O 1.99
Sb  0.0000  0.0000  0.0000  6 O 1.99
O  0.7500  0.3750  0.3750  4 Mn 2.23
O  0.2500  0.6250  0.6250  4 Mn 2.23
O  0.8438  0.9219  0.3281  2 Sb 1.99
O  0.6562  0.3281  0.9219  2 Sb 1.99
O  0.2500  0.9219  0.9219  2 Sb 1.99
O  0.2500  0.3281  0.3281  2 Sb 1.99
O  0.2500  0.3281  0.9219  2 Sb 1.99
O  0.2500  0.9219  0.3281  2 Sb 1.99
O  0.1562  0.0781  0.6719  2 Sb 1.99
O  0.3438  0.6719  0.0781  2 Sb 1.99
O  0.7500  0.0781  0.0781  2 Sb 1.99
O  0.7500  0.6719  0.6719  2 Sb 1.99
O  0.7500  0.6719  0.0781  2 Sb 1.99
O  0.7500  0.0781  0.6719  2 Sb 1.99

The space-group type is No. 227. The energy above the lowest structure with this stoichiometry is 0.000 eV per formula unit. As for the crystal system: cubic.

(6)
Mn5Sb2O12 | PBE+U | optimized geometry

Unit cell a=5.8265 b=6.1820 c=7.5924 alpha=102.57 beta=90.00 gamma=118.11
With the nearest neighbours (Å) after each atom.
Fractional coordinates of all 19 atoms:
Mn  0.3344  0.6689  0.6446  4 O 1.97-2.01
Mn  0.2889  0.5778  0.2754  4 O 1.96-2.00
Mn  0.0000  0.0000  0.5000  4 O 2.16
Mn  0.7111  0.4222  0.7246  4 O 1.96-2.00
Mn  0.6656  0.3311  0.3554  4 O 1.97-2.01
Sb  0.7563  0.0000  0.0000  6 O 2.00-2.03
Sb  0.2437  0.0000  0.0000  6 O 2.00-2.03
O  0.9496  0.8992  0.1529  2 Sb 2.00
O  0.0844  0.6549  0.8306  2 Mn 2.00-2.01, 1 Sb 2.00
O  0.5705  0.6549  0.8306  2 Mn 2.00-2.01, 1 Sb 2.00
O  0.1390  0.7265  0.4640  3 Mn 1.96-2.16
O  0.5874  0.7265  0.4640  3 Mn 1.96-2.16
O  0.5452  0.0905  0.8472  2 Sb 2.03, 1 Mn 2.23
O  0.4548  0.9095  0.1528  2 Sb 2.03, 1 Mn 2.23
O  0.8610  0.2735  0.5360  3 Mn 1.96-2.16
O  0.4126  0.2735  0.5360  3 Mn 1.96-2.16
O  0.9156  0.3451  0.1694  2 Mn 2.00-2.01, 1 Sb 2.00
O  0.4295  0.3451  0.1694  2 Mn 2.00-2.01, 1 Sb 2.00
O  0.0504  0.1008  0.8471  2 Sb 2.00

The space-group type is No. 12. As for the crystal system: monoclinic.

(7)
Mn5Sb3O12 | PBE+U | optimized geometry

Unit cell a=3.1934 b=9.3726 c=9.3726 alpha=120.00 beta=90.00 gamma=90.00
With the nearest neighbours (Å) after each atom.
Fractional coordinates of all 20 atoms:
Mn  0.0000  0.3333  0.6667  6 O 2.39
Mn  0.0000  0.6667  0.3333  6 O 2.39
Mn  0.0000  0.2970  0.0000  7 O 2.18-2.44
Mn  0.0000  0.7030  0.7030  7 O 2.18-2.44
Mn  0.0000  0.0000  0.2970  7 O 2.18-2.44
Sb  0.5000  0.6698  0.0000  6 O 2.02-2.08
Sb  0.5000  0.3302  0.3302  6 O 2.02-2.08
Sb  0.5000  0.0000  0.6698  6 O 2.02-2.08
O  0.0000  0.8126  0.0000  2 Sb 2.08
O  0.0000  0.1874  0.1874  2 Sb 2.08
O  0.0000  0.0000  0.8126  2 Sb 2.08
O  0.0000  0.5298  0.0000  2 Sb 2.07, 1 Mn 2.18
O  0.0000  0.4702  0.4702  2 Sb 2.07, 1 Mn 2.18
O  0.0000  0.0000  0.5298  2 Sb 2.07, 1 Mn 2.18
O  0.5000  0.2004  0.4487  1 Sb 2.02
O  0.5000  0.2482  0.7996  1 Sb 2.02
O  0.5000  0.7996  0.2482  1 Sb 2.02
O  0.5000  0.5513  0.7518  1 Sb 2.02
O  0.5000  0.7518  0.5513  1 Sb 2.02
O  0.5000  0.4487  0.2004  1 Sb 2.02

The space-group type is No. 189. The energy above the lowest structure with this stoichiometry is 0.000 eV per formula unit. As for the crystal system: hexagonal.

(8)
MnSb2O6 | PBE+U | optimized geometry

Unit cell a=5.7757 b=5.7757 c=7.4093 alpha=73.63 beta=73.63 gamma=74.01
With the nearest neighbours (Å) after each atom.
Fractional coordinates of all 18 atoms:
Mn  0.8382  0.8382  0.6616  6 O 2.05-2.19
Mn  0.1618  0.1618  0.3384  6 O 2.05-2.19
Sb  0.5000  0.5000  0.5000  6 O 2.02-2.05
Sb  0.5000  0.5000  0.0000  6 O 2.00-2.14
Sb  0.1717  0.1717  0.8206  6 O 1.92-2.14
Sb  0.8283  0.8283  0.1794  6 O 1.92-2.14
O  0.7258  0.7258  0.9756  2 Sb 2.03-2.05, 1 Mn 2.19
O  0.2742  0.2742  0.0244  2 Sb 2.03-2.05, 1 Mn 2.19
O  0.0663  0.0663  0.6381  1 Sb 1.92, 2 Mn 2.05-2.08
O  0.9337  0.9337  0.3619  1 Sb 1.92, 2 Mn 2.05-2.08
O  0.4054  0.4054  0.2875  2 Sb 2.00-2.05, 1 Mn 2.14
O  0.5946  0.5946  0.7125  2 Sb 2.00-2.05, 1 Mn 2.14
O  0.1926  0.8074  0.0000  3 Sb 2.14
O  0.8074  0.1926  0.0000  3 Sb 2.14
O  0.1504  0.5228  0.6595  2 Sb 2.02-2.03, 1 Mn 2.18
O  0.5228  0.1504  0.6595  2 Sb 2.02-2.03, 1 Mn 2.18
O  0.8496  0.4772  0.3405  2 Sb 2.02-2.03, 1 Mn 2.18
O  0.4772  0.8496  0.3405  2 Sb 2.02-2.03, 1 Mn 2.18

The space-group type is No. 12. As for the crystal system: monoclinic.

| no. | DOS at the Fermi energy (states/eV per atom) | calculated total energy (eV/atom) | calculated density (kg/m³) |
| --- | --- | --- | --- |
| 1 | 0.636 | -4.900 | 6597 |
| 2 | 0.579 | -5.247 | 3604 |
| 3 | 0.370 | -6.756 | 5460 |
| 4 | 0.232 | -6.414 | 4349 |
| 5 | 0.203 | -6.774 | 5676 |
| 6 | 0.001 | -6.964 | 5045 |
| 7 | 0.049 | -6.942 | 5687 |
| 8 | 0.209 | -6.510 | 5893 |